1.
An optimized crystal structure of TaTi2HW. Source: Alexandria via LeMat-Bulk, functional PBE.

Output
The crystal system is tetragonal. The calculation puts the offset from the most stable computed form at 28 meV per atom. For the total energy, the calculation gives -0.322 hartree per atom.

```
data_TaTi2HW
_chemical_formula_sum 'Ta1 Ti2 H1 W1'
_space_group_name_H-M_alt 'P 4/m m m'
_space_group_IT_number 123
_space_group_name_Hall '-P 4 2'
_cell_length_a 3.907
_cell_length_b 3.907
_cell_length_c 4.586
_cell_angle_alpha 90.00
_cell_angle_beta 90.00
_cell_angle_gamma 90.00
loop_
_atom_site_label
_atom_site_type_symbol
_atom_site_fract_x
_atom_site_fract_y
_atom_site_fract_z
Ta1 Ta 0.000 0.000 0.000
Ti1 Ti 0.000 0.500 0.500
H1 H 0.500 0.500 0.500
W1 W 0.500 0.500 0.000
```



2.
An optimized crystal structure of ZrTaTi2H. Source: Alexandria via LeMat-Bulk, functional PBE.

Output
The crystal system is tetragonal. The calculation puts the offset from the most stable computed form at 861 meV per atom. For the total energy, the calculation gives -0.260 hartree per atom.

```
data_ZrTaTi2H
_chemical_formula_sum 'Zr1 Ta1 Ti2 H1'
_space_group_name_H-M_alt 'P 4/m m m'
_space_group_IT_number 123
_space_group_name_Hall '-P 4 2'
_cell_length_a 5.058
_cell_length_b 5.058
_cell_length_c 3.367
_cell_angle_alpha 90.00
_cell_angle_beta 90.00
_cell_angle_gamma 90.00
loop_
_atom_site_label
_atom_site_type_symbol
_atom_site_fract_x
_atom_site_fract_y
_atom_site_fract_z
Zr1 Zr 0.000 0.000 0.000
Ta1 Ta 0.500 0.500 0.500
Ti1 Ti 0.000 0.500 0.000
H1 H 0.000 0.000 0.500
```



3.
An optimized crystal structure of ZrTaTi2H. Source: Alexandria via LeMat-Bulk, functional PBE.

Output
The crystal system is tetragonal. The calculation puts the offset from the most stable computed form at 21 meV per atom. For the total energy, the calculation gives -0.290 hartree per atom.

```
data_ZrTaTi2H
_chemical_formula_sum 'Zr1 Ta1 Ti2 H1'
_space_group_name_H-M_alt 'P 4/m m m'
_space_group_IT_number 123
_space_group_name_Hall '-P 4 2'
_cell_length_a 4.150
_cell_length_b 4.150
_cell_length_c 4.476
_cell_angle_alpha 90.00
_cell_angle_beta 90.00
_cell_angle_gamma 90.00
loop_
_atom_site_label
_atom_site_type_symbol
_atom_site_fract_x
_atom_site_fract_y
_atom_site_fract_z
Zr1 Zr 0.000 0.000 0.000
Ta1 Ta 0.500 0.500 0.000
Ti1 Ti 0.000 0.500 0.500
H1 H 0.500 0.500 0.500
```



4.
An optimized crystal structure of ZrTaTi2H. Source: Alexandria via LeMat-Bulk, functional PBE.

Output
The crystal system is tetragonal. The calculation puts the offset from the most stable computed form at 0 meV per atom. For the total energy, the calculation gives -0.291 hartree per atom.

```
data_ZrTaTi2H
_chemical_formula_sum 'Zr1 Ta1 Ti2 H1'
_space_group_name_H-M_alt 'P 4/m m m'
_space_group_IT_number 123
_space_group_name_Hall '-P 4 2'
_cell_length_a 4.087
_cell_length_b 4.087
_cell_length_c 4.619
_cell_angle_alpha 90.00
_cell_angle_beta 90.00
_cell_angle_gamma 90.00
loop_
_atom_site_label
_atom_site_type_symbol
_atom_site_fract_x
_atom_site_fract_y
_atom_site_fract_z
Zr1 Zr 0.000 0.000 0.000
Ta1 Ta 0.500 0.500 0.000
Ti1 Ti 0.000 0.500 0.500
H1 H 0.000 0.000 0.500
```



5.
An optimized crystal structure of Ta3TlH. Source: Alexandria via LeMat-Bulk, functional PBE.

Output
The crystal system is cubic. The calculation puts the offset from the most stable computed form at 0 meV per atom. For the total energy, the calculation gives -0.295 hartree per atom.

```
data_Ta3TlH
_chemical_formula_sum 'Ta3 Tl1 H1'
_space_group_name_H-M_alt 'P m -3 m'
_space_group_IT_number 221
_space_group_name_Hall '-P 4 2 3'
_cell_length_a 4.261
_cell_length_b 4.261
_cell_length_c 4.261
_cell_angle_alpha 90.00
_cell_angle_beta 90.00
_cell_angle_gamma 90.00
loop_
_atom_site_label
_atom_site_type_symbol
_atom_site_fract_x
_atom_site_fract_y
_atom_site_fract_z
Ta1 Ta 0.000 0.000 0.500
Tl1 Tl 0.500 0.500 0.500
H1 H 0.000 0.000 0.000
```



6.
An optimized crystal structure of TaTl3H. Source: Alexandria via LeMat-Bulk, functional PBE.

Output
The crystal system is cubic. The calculation puts the offset from the most stable computed form at 273 meV per atom. For the total energy, the calculation gives -0.123 hartree per atom.

```
data_TaTl3H
_chemical_formula_sum 'Ta1 Tl3 H1'
_space_group_name_H-M_alt 'P m -3 m'
_space_group_IT_number 221
_space_group_name_Hall '-P 4 2 3'
_cell_length_a 5.539
_cell_length_b 5.539
_cell_length_c 5.539
_cell_angle_alpha 90.00
_cell_angle_beta 90.00
_cell_angle_gamma 90.00
loop_
_atom_site_label
_atom_site_type_symbol
_atom_site_fract_x
_atom_site_fract_y
_atom_site_fract_z
Ta1 Ta 0.000 0.000 0.000
Tl1 Tl 0.000 0.000 0.500
H1 H 0.500 0.500 0.500
```



7.
An optimized crystal structure of TaTlH2. Source: Alexandria via LeMat-Bulk, functional PBE.

Output
The crystal system is tetragonal. The calculation puts the offset from the most stable computed form at 0 meV per atom. For the total energy, the calculation gives -0.182 hartree per atom.

```
data_TaTlH2
_chemical_formula_sum 'Ta4 Tl4 H8'
_space_group_name_H-M_alt 'I -4 2 d'
_space_group_IT_number 122
_space_group_name_Hall 'I -4 2bw'
_cell_length_a 5.825
_cell_length_b 5.825
_cell_length_c 6.001
_cell_angle_alpha 90.00
_cell_angle_beta 90.00
_cell_angle_gamma 90.00
loop_
_atom_site_label
_atom_site_type_symbol
_atom_site_fract_x
_atom_site_fract_y
_atom_site_fract_z
Ta1 Ta 0.000 0.000 0.000
Tl1 Tl 0.000 0.000 0.500
H1 H 0.152 0.250 0.125
```



8.
An optimized crystal structure of TaTl3H. Source: Alexandria via LeMat-Bulk, functional PBE.

Output
The crystal system is cubic. The calculation puts the offset from the most stable computed form at 0 meV per atom. For the total energy, the calculation gives -0.133 hartree per atom.

```
data_TaTl3H
_chemical_formula_sum 'Ta1 Tl3 H1'
_space_group_name_H-M_alt 'P m -3 m'
_space_group_IT_number 221
_space_group_name_Hall '-P 4 2 3'
_cell_length_a 4.644
_cell_length_b 4.644
_cell_length_c 4.644
_cell_angle_alpha 90.00
_cell_angle_beta 90.00
_cell_angle_gamma 90.00
loop_
_atom_site_label
_atom_site_type_symbol
_atom_site_fract_x
_atom_site_fract_y
_atom_site_fract_z
Ta1 Ta 0.000 0.000 0.000
Tl1 Tl 0.000 0.500 0.500
H1 H 0.500 0.500 0.500
```



9.
An optimized crystal structure of Ta2TlH. Source: Alexandria via LeMat-Bulk, functional PBE.

Output
The crystal system is cubic. The calculation puts the offset from the most stable computed form at 562 meV per atom. For the total energy, the calculation gives -0.229 hartree per atom.

```
data_Ta2TlH
_chemical_formula_sum 'Ta8 Tl4 H4'
_space_group_name_H-M_alt 'F m -3 m'
_space_group_IT_number 225
_space_group_name_Hall '-F 4 2 3'
_cell_length_a 6.468
_cell_length_b 6.468
_cell_length_c 6.468
_cell_angle_alpha 90.00
_cell_angle_beta 90.00
_cell_angle_gamma 90.00
loop_
_atom_site_label
_atom_site_type_symbol
_atom_site_fract_x
_atom_site_fract_y
_atom_site_fract_z
Ta1 Ta 0.250 0.250 0.250
Tl1 Tl 0.000 0.000 0.000
H1 H 0.000 0.000 0.500
```



10.
An optimized crystal structure of Ta3TlH. Source: Alexandria via LeMat-Bulk, functional PBE.

Output
The crystal system is cubic. The calculation puts the offset from the most stable computed form at 2939 meV per atom. For the total energy, the calculation gives -0.187 hartree per atom.

```
data_Ta3TlH
_chemical_formula_sum 'Ta3 Tl1 H1'
_space_group_name_H-M_alt 'P m -3 m'
_space_group_IT_number 221
_space_group_name_Hall '-P 4 2 3'
_cell_length_a 5.140
_cell_length_b 5.140
_cell_length_c 5.140
_cell_angle_alpha 90.00
_cell_angle_beta 90.00
_cell_angle_gamma 90.00
loop_
_atom_site_label
_atom_site_type_symbol
_atom_site_fract_x
_atom_site_fract_y
_atom_site_fract_z
Ta1 Ta 0.000 0.000 0.500
Tl1 Tl 0.000 0.000 0.000
H1 H 0.500 0.500 0.500
```